First-principles (PBE) data for a geometry-optimized RbMg2Cd9 structure, as listed in Alexandria.

Unit cell a=3.328 b=10.221 c=10.221 alpha=120.00 beta=90.00 gamma=90.00
Element x y z (fractional)
Cd: 0.000 0.500 0.000
Cd: 0.500 0.185 0.815
Cd: 0.500 0.815 0.630
Cd: 0.000 0.500 0.500
Cd: 0.500 0.370 0.185
Cd: 0.500 0.185 0.370
Cd: 0.000 0.000 0.500
Cd: 0.500 0.815 0.185
Cd: 0.500 0.630 0.815
Rb: 0.000 0.000 0.000
Mg: 0.000 0.333 0.667
Mg: 0.000 0.667 0.333

Results
Offset from the most stable computed form ... 97 meV/atom
V ... 25.093 Å³ per atom

***

First-principles (PBE) data for a geometry-optimized RbMgCd2 structure, as listed in Alexandria.

Unit cell a=5.059 b=7.248 c=7.800 alpha=90.00 beta=90.00 gamma=90.00
Element x y z (fractional)
Cd: 0.500 0.394 0.197
Cd: 0.500 0.394 0.803
Cd: 0.000 0.606 0.303
Cd: 0.000 0.606 0.697
Mg: 0.500 0.643 0.500
Mg: 0.000 0.357 0.000
Rb: 0.500 0.891 0.000
Rb: 0.000 0.109 0.500

Results
V ... 35.753 Å³ per atom

***

First-principles (PBE) data for a geometry-optimized Rb5MgCd6 structure, as listed in Alexandria.

Unit cell a=9.330 b=7.536 c=9.327 alpha=66.17 beta=79.24 gamma=62.49
Element x y z (fractional)
Cd: 0.183 0.039 0.703
Cd: 0.817 0.961 0.297
Cd: 0.817 0.258 0.703
Cd: 0.183 0.742 0.297
Cd: 0.680 0.952 0.000
Cd: 0.320 0.048 0.000
Mg: 0.000 0.000 0.000
Rb: 0.000 0.638 0.724
Rb: 0.500 0.789 0.421
Rb: 0.500 0.211 0.579
Rb: 0.500 0.500 0.000
Rb: 0.000 0.362 0.276

Results
V ... 44.336 Å³ per atom

***

First-principles (PBE) data for a geometry-optimized RbMgCd2 structure, as listed in Alexandria.

Unit cell a=3.750 b=3.750 c=10.670 alpha=79.88 beta=79.88 gamma=60.00
Element x y z (fractional)
Cd: 0.264 0.264 0.208
Cd: 0.736 0.736 0.792
Rb: 0.500 0.500 0.500
Mg: 0.000 0.000 0.000

Results
V ... 31.804 Å³ per atom

***

| no. | energy of formation from the pure elements (eV per atom) |
| --- | --- |
| 1 | 0.0096 |
| 2 | -0.0200 |
| 3 | 0.0105 |
| 4 | 0.1312 |